A geometry-optimized CoF3 structure. Source: Alexandria via LeMat-Bulk, functional GGA+U.

Results
- Calculated volume: 13.69 Å³ per atom
- Raw total energy: -4.561 eV/atom
- Symmetry: No. 36
- Calculated density: 3.52 Mg/m³

Lattice parameters (Å, degrees): 6.610 6.610 5.294 90.00 90.00 108.79
Fractional positions:
Co  0.122  0.878  0.500
Co  0.372  0.628  0.000
Co  0.628  0.372  0.500
Co  0.878  0.122  0.000
F  0.035  0.965  0.177
F  0.115  0.368  0.997
F  0.220  0.780  0.809
F  0.286  0.714  0.301
F  0.368  0.115  0.497
F  0.471  0.529  0.713
F  0.529  0.471  0.213
F  0.632  0.885  0.997
F  0.714  0.286  0.801
F  0.780  0.220  0.309
F  0.885  0.632  0.497
F  0.965  0.035  0.677